[1]
Computed, not measured: CaPrMg2Ge2 after structural relaxation at the PBE level of DFT.

Lattice parameters (Å, degrees): 4.6768 4.6768 7.4401 90.00 90.00 120.00
Positions (direct):
Ca  0.0000  0.0000  0.5000
Pr  0.0000  0.0000  0.0000
Mg  0.3333  0.6667  0.7252
Mg  0.6667  0.3333  0.2748
Ge  0.3333  0.6667  0.2570
Ge  0.6667  0.3333  0.7430

Properties
Total magnetic moment in Bohr magnetons per cell: 0.0
Volume in Å³/cell: 140.9
Symmetry: P-3m1, No. 164
E_form in eV/atom: -0.5222



[2]
Computed, not measured: CaMgGe2Pt2 after structural relaxation at the PBE level of DFT.

Lattice parameters (Å, degrees): 4.3790 4.3790 6.9072 90.00 90.00 120.00
Positions (direct):
Ca  0.0000  0.0000  0.0000
Mg  0.0000  0.0000  0.5000
Ge  0.6667  0.3333  0.2885
Ge  0.3333  0.6667  0.7115
Pt  0.6667  0.3333  0.6960
Pt  0.3333  0.6667  0.3040

Properties
Total magnetic moment in Bohr magnetons per cell: 0.0
Volume in Å³/cell: 114.7
Symmetry: P-3m1, No. 164
E_form in eV/atom: -0.7934



[3]
Computed, not measured: Ca2MgGe4Pt3 after structural relaxation at the PBE level of DFT.

Lattice parameters (Å, degrees): 4.2476 4.2476 10.9163 90.00 90.00 90.00
Positions (direct):
Ca  0.5000  0.0000  0.2475
Ca  0.0000  0.5000  0.7525
Mg  0.5000  0.5000  0.5000
Ge  0.5000  0.5000  0.0000
Ge  0.0000  0.0000  0.0000
Ge  0.5000  0.0000  0.6456
Ge  0.0000  0.5000  0.3544
Pt  0.0000  0.0000  0.5000
Pt  0.5000  0.0000  0.8726
Pt  0.0000  0.5000  0.1274

Properties
Total magnetic moment in Bohr magnetons per cell: 0.0
Volume in Å³/cell: 197.0
Symmetry: P-4m2, No. 115
E_form in eV/atom: -0.7230



[4]
Computed, not measured: CaMg2Ge2Pt after structural relaxation at the PBE level of DFT.

Lattice parameters (Å, degrees): 4.0591 4.0591 10.3210 101.34 101.34 90.00
Positions (direct):
Ca  0.5000  0.5000  0.0000
Mg  0.2500  0.7500  0.5000
Mg  0.7500  0.2500  0.5000
Ge  0.3489  0.3489  0.6978
Ge  0.6511  0.6511  0.3022
Pt  0.0000  0.0000  0.0000

Properties
Total magnetic moment in Bohr magnetons per cell: 0.0
Volume in Å³/cell: 163.3
Symmetry: I4/mmm, No. 139
E_form in eV/atom: 0.2868



[5]
Computed, not measured: CaMg2GePt after structural relaxation at the PBE level of DFT.

Lattice parameters (Å, degrees): 5.0497 4.8226 5.0497 90.00 90.00 90.00
Positions (direct):
Mg  0.0000  0.0000  0.5000
Mg  0.5000  0.0000  0.0000
Ge  0.0000  0.5000  0.0000
Ca  0.5000  0.5000  0.5000
Pt  0.0000  0.0000  0.0000

Properties
Total magnetic moment in Bohr magnetons per cell: 0.0
Volume in Å³/cell: 123.0
Symmetry: P4/mmm, No. 123
E_form in eV/atom: -0.3505



[6]
Computed, not measured: CaMgGe2Rh after structural relaxation at the PBE level of DFT.

Lattice parameters (Å, degrees): 4.1432 4.1432 6.3682 108.98 108.98 90.00
Positions (direct):
Ca  0.0000  0.0000  0.0000
Mg  0.2500  0.7500  0.5000
Ge  0.6115  0.6115  0.2230
Ge  0.3885  0.3885  0.7770
Rh  0.7500  0.2500  0.5000

Properties
Total magnetic moment in Bohr magnetons per cell: 0.0
Volume in Å³/cell: 97.1
Symmetry: I-4m2, No. 119
E_form in eV/atom: -0.5464



Table of final energy (eV/cell), in record order: -22.3; -29.7; -49.4; -18.7; -17.6; -22.9